# GeTeRuI2

Crystalline GeTeRuI2 at its relaxed geometry (PBE, Alexandria via LeMat-Bulk).

Lattice parameters (Å, degrees): 5.4480 5.4480 5.1249 90.00 90.00 90.00
With the nearest neighbours (Å) after each atom.
Atoms (fractional coordinates):
Ge1 0.5000 0.5000 0.5000  8 I 3.74, 4 Te 3.85
Ru1 0.0000 0.0000 0.0000  2 Te 2.56, 4 I 2.72
I1 0.5000 0.0000 0.0000  2 Ru 2.72
I2 0.0000 0.5000 0.0000  2 Ru 2.72
Te1 0.0000 0.0000 0.5000  2 Ru 2.56

Computed properties:
crystal system = tetragonal
Fermi-level density of states = 4.75 states/eV per cell
energy relative to the lowest polymorph listed for this composition = 0.0 meV/atom